A plane-wave DFT calculation with PBE-GGA was carried out for a geometry-optimized Pr3Si2Br2 structure.

Space group ... No. 2
Electronic total energy ... -34.9 eV per cell
DOS at the Fermi energy ... 0.701 states/eV per atom
Formation energy from raw total energies ... -0.91 eV/atom

Structure (CIF):
```
data_Pr3Si2Br2
_cell_length_a 4.222
_cell_length_b 7.403
_cell_length_c 8.011
_cell_angle_alpha 77.53
_cell_angle_beta 89.94
_cell_angle_gamma 73.69
_space_group_name_H-M_alt 'P 1'
_space_group_IT_number 1
loop_
_space_group_symop_operation_xyz
'x,y,z'
loop_
_atom_site_label
_atom_site_type_symbol
_atom_site_fract_x
_atom_site_fract_y
_atom_site_fract_z
Pr1 Pr 0.000 0.000 0.000
Pr2 Pr 0.235 0.526 0.768
Pr3 Pr 0.765 0.474 0.232
Si1 Si 0.378 0.247 0.103
Si2 Si 0.622 0.753 0.897
Br1 Br 0.139 0.726 0.369
Br2 Br 0.861 0.274 0.631
```